No. 1
## TaIO2 (PBE-GGA)

Data for an optimized crystal structure of TaIO2.

Calculated values
The calculated density comes out at 6.8 g/cm³. Its total DFT energy (no corrections) is -7.75 eV/atom. The formation energy from raw total energies is -1.919 eV per atom. As for the space group: No. 227. The calculation puts the spin magnetization at 0.00 Bohr magnetons per cell. Its density of states at the Fermi level is 2.35 states/eV/cell.

Structure (POSCAR):
```
TaIO2
1.0
0.0000 4.3640 4.3640
4.3640 0.0000 4.3640
4.3640 4.3640 0.0000
Ta I O
2 2 4
direct
0.1250 0.1250 0.1250 Ta
0.8750 0.8750 0.8750 Ta
0.3750 0.3750 0.3750 I
0.6250 0.6250 0.6250 I
0.0000 0.0000 0.0000 O
0.0000 0.0000 0.5000 O
0.0000 0.5000 0.0000 O
0.5000 0.0000 0.0000 O
```



No. 2
## Ce3SmSe4 (PBE-GGA)

Data for an optimized crystal structure of Ce3SmSe4.

Calculated values
The calculated density comes out at 7.1 g/cm³. Its total DFT energy (no corrections) is -6.38 eV/atom. The value obtained for the distance to the lowest polymorph of the same formula is 3 meV/atom. The formation energy from raw total energies is -1.820 eV per atom. As for the space group: No. 221. The calculation puts the spin magnetization at 2.63 Bohr magnetons per cell. Its density of states at the Fermi level is 18.74 states/eV/cell.

Structure (POSCAR):
```
Ce3SmSe4
1.0
5.9272 0.0000 0.0000
0.0000 5.9272 0.0000
0.0000 0.0000 5.9272
Ce Sm Se
3 1 4
direct
0.0000 0.0000 0.5000 Ce
0.0000 0.5000 0.0000 Ce
0.5000 0.0000 0.0000 Ce
0.5000 0.5000 0.5000 Sm
0.0000 0.0000 0.0000 Se
0.0000 0.5000 0.5000 Se
0.5000 0.0000 0.5000 Se
0.5000 0.5000 0.0000 Se
```



No. 3
## TiTe2NF (PBE-GGA)

Data for an optimized crystal structure of TiTe2NF.

Calculated values
The calculated density comes out at 6.1 g/cm³. Its total DFT energy (no corrections) is -4.07 eV/atom. The value obtained for the distance to the lowest polymorph of the same formula is 936 meV/atom. The formation energy from raw total energies is 0.800 eV per atom. As for the space group: No. 123. The calculation puts the spin magnetization at 0.00 Bohr magnetons per cell. Its density of states at the Fermi level is 4.20 states/eV/cell.

Structure (POSCAR):
```
TiTe2NF
1.0
4.7986 0.0000 0.0000
0.0000 4.7986 0.0000
0.0000 0.0000 3.9576
Ti Te N F
1 2 1 1
direct
0.0000 0.0000 0.0000 Ti
0.0000 0.5000 0.5000 Te
0.5000 0.0000 0.5000 Te
0.5000 0.5000 0.0000 N
0.5000 0.5000 0.5000 F
```



No. 4
## LaTaMo2As (PBE-GGA)

Data for an optimized crystal structure of LaTaMo2As.

Calculated values
The calculated density comes out at 8.3 g/cm³. Its total DFT energy (no corrections) is -6.35 eV/atom. As for the space group: No. 123. The calculation puts the spin magnetization at 0.00 Bohr magnetons per cell. Its density of states at the Fermi level is 7.36 states/eV/cell.

Structure (POSCAR):
```
LaTaMo2As
1.0
4.7242 0.0000 0.0000
0.0000 4.7242 0.0000
0.0000 0.0000 5.2605
La Ta Mo As
1 1 2 1
direct
0.0000 0.0000 0.0000 La
0.5000 0.5000 0.5000 Ta
0.0000 0.5000 0.0000 Mo
0.5000 0.0000 0.0000 Mo
0.0000 0.0000 0.5000 As
```